# Ba2In4Ag3Sn, relaxed, DFT GGA-PBE
data_Ba2In4Ag3Sn
_space_group_name_H-M_alt 'P 1'
_space_group_IT_number 1
_space_group_name_Hall 'P 1'
_cell_length_a 4.825
_cell_length_b 4.825
_cell_length_c 12.159
_cell_angle_alpha 90.00
_cell_angle_beta 90.00
_cell_angle_gamma 90.00
loop_
_atom_site_label
_atom_site_type_symbol
_atom_site_fract_x
_atom_site_fract_y
_atom_site_fract_z
_atom_site_occupancy
Ba1 Ba 0.000 0.500 0.247 1
Ba2 Ba 0.500 0.000 0.753 1
In1 In 0.000 0.000 0.000 1
In2 In 0.000 0.500 0.641 1
In3 In 0.500 0.000 0.359 1
In4 In 0.500 0.500 0.000 1
Ag1 Ag 0.000 0.500 0.870 1
Ag2 Ag 0.500 0.000 0.130 1
Ag3 Ag 0.500 0.500 0.500 1
Sn1 Sn 0.000 0.000 0.500 1
# - raw total energy (eV per atom) = -3.06
# - formation energy (kcal/mol of atoms) = -7.49
# - density (Mg/m³) = 6.900